# 1
Compound: MgTa2Hg
Source: Alexandria via LeMat-Bulk
Functional: PBE
Structure: optimized geometry

Summary:
Energy above the most stable polymorph in this dataset (eV per atom): 0.255
Crystal system: orthorhombic
V (A^3/atom): 19.17
DFT formation energy (eV per atom): 0.3829

Unit cell a=2.866 b=2.866 c=9.417 alpha=90.00 beta=90.00 gamma=97.46
Fractional positions:
Hg: 0.500 0.500 0.250
Mg: 0.500 0.500 0.750
Ta: 0.000 0.000 0.001
Ta: 0.000 0.000 0.499


# 2
Compound: Mg2TaHg
Source: Alexandria via LeMat-Bulk
Functional: PBE
Structure: optimized geometry

Summary:
Crystal system: orthorhombic
V (A^3/atom): 20.06
DFT formation energy (eV per atom): 0.3286

Unit cell a=5.928 b=5.928 c=5.928 alpha=149.31 beta=130.49 gamma=59.38
Last column: magnetic moment on the atom in μB.
Fractional positions:
Hg: 0.250 0.750 0.500  0.01
Mg: 0.013 0.013 0.000  0.00
Mg: 0.745 0.245 0.500  0.00
Ta: 0.493 0.493 0.000  0.25


# 3
Compound: MgTa2Hg
Source: Alexandria via LeMat-Bulk
Functional: PBE
Structure: optimized geometry

Summary:
Energy above the most stable polymorph in this dataset (eV per atom): 0.124
Crystal system: orthorhombic
V (A^3/atom): 18.76
DFT formation energy (eV per atom): 0.2514

Unit cell a=3.671 b=4.259 c=4.801 alpha=90.00 beta=90.00 gamma=90.00
Fractional positions:
Hg: 0.500 0.000 0.500
Mg: 0.000 0.500 0.500
Ta: 0.000 0.000 0.000
Ta: 0.500 0.500 0.000


# 4
Compound: Mg2TaHg
Source: Alexandria via LeMat-Bulk
Functional: PBE
Structure: optimized geometry

Summary:
Crystal system: monoclinic
V (A^3/atom): 19.94
DFT formation energy (eV per atom): 0.2393

Unit cell a=4.275 b=3.044 c=6.827 alpha=63.83 beta=90.00 gamma=90.00
Fractional positions:
Hg: 0.500 0.750 0.750
Mg: 0.000 0.989 0.009
Mg: 0.000 0.511 0.491
Ta: 0.500 0.250 0.250


# 5
Compound: MgTa2Hg2
Source: Alexandria via LeMat-Bulk
Functional: PBE
Structure: optimized geometry

Summary:
Energy above the most stable polymorph in this dataset (eV per atom): 0.253
Crystal system: tetragonal
V (A^3/atom): 22.75
DFT formation energy (eV per atom): 0.8031

Unit cell a=4.172 b=4.172 c=7.172 alpha=73.09 beta=73.09 gamma=90.00
Fractional positions:
Mg: 0.000 0.000 0.000
Hg: 0.750 0.250 0.500
Hg: 0.250 0.750 0.500
Ta: 0.407 0.407 0.186
Ta: 0.593 0.593 0.814


# 6
Compound: Mg2TaVHg
Source: Alexandria via LeMat-Bulk
Functional: PBE
Structure: optimized geometry

Summary:
Crystal system: tetragonal
V (A^3/atom): 23.04
DFT formation energy (eV per atom): 1.3792

Unit cell a=4.780 b=5.043 c=4.780 alpha=90.00 beta=90.00 gamma=90.00
Fractional positions:
Mg: 0.000 0.000 0.500
Mg: 0.500 0.000 0.000
V: 0.000 0.500 0.000
Hg: 0.000 0.000 0.000
Ta: 0.500 0.500 0.500


# 7
Compound: YMgTaHg2
Source: Alexandria via LeMat-Bulk
Functional: PBE
Structure: optimized geometry

Summary:
Crystal system: tetragonal
V (A^3/atom): 30.72
DFT formation energy (eV per atom): 0.7735

Unit cell a=5.437 b=5.196 c=5.437 alpha=90.00 beta=90.00 gamma=90.00
Fractional positions:
Y: 0.000 0.500 0.000
Mg: 0.500 0.500 0.500
Hg: 0.000 0.000 0.500
Hg: 0.500 0.000 0.000
Ta: 0.000 0.000 0.000


# 8
Compound: TbMg2Hg
Source: Alexandria via LeMat-Bulk
Functional: PBE
Structure: optimized geometry

Summary:
Energy above the most stable polymorph in this dataset (eV per atom): 0.130
Crystal system: cubic
V (A^3/atom): 22.79
DFT formation energy (eV per atom): -0.1432

Unit cell a=5.052 b=5.052 c=5.052 alpha=60.00 beta=60.00 gamma=60.00
Fractional positions:
Mg: 0.250 0.250 0.250
Mg: 0.750 0.750 0.750
Tb: 0.000 0.000 0.000
Hg: 0.500 0.500 0.500


# 9
Compound: TbMgHg2
Source: Alexandria via LeMat-Bulk
Functional: PBE
Structure: optimized geometry

Summary:
Energy above the most stable polymorph in this dataset (eV per atom): 0.078
Crystal system: tetragonal
V (A^3/atom): 23.45
DFT formation energy (eV per atom): -0.3826

Unit cell a=3.558 b=3.558 c=7.411 alpha=90.00 beta=90.00 gamma=90.00
Last column: magnetic moment on the atom in μB.
Fractional positions:
Mg: 0.500 0.500 0.000  0.00
Tb: 0.500 0.500 0.500  0.09
Hg: 0.000 0.000 0.770  0.00
Hg: 0.000 0.000 0.230  0.00


# 10
Compound: TbMg2Hg
Source: Alexandria via LeMat-Bulk
Functional: PBE
Structure: optimized geometry

Summary:
Energy above the most stable polymorph in this dataset (eV per atom): 0.000
Crystal system: tetragonal
V (A^3/atom): 23.46
DFT formation energy (eV per atom): -0.2731

Unit cell a=5.094 b=5.094 c=5.095 alpha=90.50 beta=119.72 gamma=119.72
Fractional positions:
Tb: 0.125 0.312 0.438
Mg: 0.125 0.813 0.937
Mg: 0.625 0.062 0.688
Hg: 0.625 0.562 0.187


# 11
Compound: Tb5Mg4Hg
Source: Alexandria via LeMat-Bulk
Functional: PBE
Structure: optimized geometry

Summary:
Crystal system: tetragonal
V (A^3/atom): 27.10
DFT formation energy (eV per atom): -0.1636

Unit cell a=3.801 b=3.801 c=18.755 alpha=90.00 beta=90.00 gamma=90.00
Fractional positions:
Tb: 0.500 0.500 0.097
Tb: 0.500 0.500 0.298
Tb: 0.500 0.500 0.500
Tb: 0.500 0.500 0.702
Tb: 0.500 0.500 0.903
Mg: 0.000 0.000 0.199
Mg: 0.000 0.000 0.399
Mg: 0.000 0.000 0.601
Mg: 0.000 0.000 0.801
Hg: 0.000 0.000 0.000


# 12
Compound: Tb5MgHg3
Source: Alexandria via LeMat-Bulk
Functional: PBE
Structure: optimized geometry

Summary:
Crystal system: hexagonal
V (A^3/atom): 26.90
DFT formation energy (eV per atom): -0.3216

Unit cell a=6.722 b=9.119 c=9.119 alpha=120.00 beta=90.00 gamma=90.00
Fractional positions:
Tb: 0.000 0.667 0.333
Tb: 0.500 0.333 0.667
Tb: 0.000 0.333 0.667
Tb: 0.500 0.667 0.333
Tb: 0.750 0.689 0.689
Tb: 0.750 0.000 0.311
Tb: 0.750 0.311 0.000
Tb: 0.250 0.311 0.311
Tb: 0.250 0.000 0.689
Tb: 0.250 0.689 0.000
Mg: 0.000 0.000 0.000
Mg: 0.500 0.000 0.000
Hg: 0.750 0.354 0.354
Hg: 0.750 0.000 0.646
Hg: 0.750 0.646 0.000
Hg: 0.250 0.646 0.646
Hg: 0.250 0.000 0.354
Hg: 0.250 0.354 0.000